The following is a DFT calculation (GGA-PBE) of a relaxed structure of CaLaTl.

Energy above the lowest structure with this stoichiometry ... 156 meV/atom
Crystal system ... triclinic

Lattice parameters (Å, degrees): 6.8924 5.4296 6.8335 113.39 99.47 113.21
Fractional positions:
Ca  0.3099  0.0342  0.8750
Ca  0.7075  0.5151  0.4377
Tl  0.4074  0.8252  0.3581
Tl  0.6100  0.7242  0.9548
La  0.9081  0.3428  0.8933
La  0.1093  0.2066  0.4196

=====

The following is a DFT calculation (GGA-PBE) of a relaxed structure of Pm3Pr2Dy2.

Energy above the lowest structure with this stoichiometry ... 0 meV/atom
Crystal system ... monoclinic

Lattice parameters (Å, degrees): 3.6423 10.9239 8.1225 94.24 47.74 90.00
Fractional positions:
Pm  0.0000  0.0000  0.0000
Pm  0.5737  0.5698  0.2841
Pm  0.4263  0.4302  0.7159
Pr  0.1467  0.1449  0.5689
Pr  0.8533  0.8551  0.4311
Dy  0.2888  0.2875  0.1408
Dy  0.7112  0.7125  0.8592

=====

no.,ΔH_f (0 K) (eV per atom)
1,-0.242
2,0.013